Sc2PCl | PBE | relaxed

abc: 3.744 3.744 5.252
angles: 90.00 90.00 90.00
Fractional positions:
Sc (0.000, 0.000, 0.000)
Sc (0.500, 0.500, 0.500)
P (0.000, 0.000, 0.500)
Cl (0.500, 0.500, 0.000)

- raw formation energy (meV per atom) = -1338
- magnetic moment (μB/f.u.) = 0.0
- energy (eV/atom) = -6.32
- space group = P4/mmm
- calculated volume (Å³ per cell) = 73.6

=====

CaTlCu | PBE | relaxed

abc: 4.768 4.768 4.768
angles: 60.00 60.00 60.00
Fractional positions:
Ca (0.000, 0.000, 0.000)
Tl (0.500, 0.500, 0.500)
Cu (0.750, 0.750, 0.750)

- magnetic moment (μB/f.u.) = 0.0
- energy (eV/atom) = -2.92
- space group = F-43m
- calculated volume (Å³ per cell) = 76.7

=====

Pd15Pb4Au | PBE | relaxed

abc: 4.096 4.096 20.362
angles: 90.00 90.00 90.00
Fractional positions:
Pd (0.000, 0.000, 0.000)
Pd (0.000, 0.000, 0.198)
Pd (0.000, 0.000, 0.399)
Pd (0.000, 0.000, 0.601)
Pd (0.000, 0.000, 0.802)
Pd (0.000, 0.500, 0.096)
Pd (0.000, 0.500, 0.298)
Pd (0.000, 0.500, 0.500)
Pd (0.000, 0.500, 0.702)
Pd (0.000, 0.500, 0.904)
Pd (0.500, 0.000, 0.096)
Pd (0.500, 0.000, 0.298)
Pd (0.500, 0.000, 0.500)
Pd (0.500, 0.000, 0.702)
Pd (0.500, 0.000, 0.904)
Pb (0.500, 0.500, 0.195)
Pb (0.500, 0.500, 0.399)
Pb (0.500, 0.500, 0.601)
Pb (0.500, 0.500, 0.805)
Au (0.500, 0.500, 0.000)

- magnetic moment (μB/f.u.) = 0.0
- energy (eV/atom) = -5.02
- space group = P4/mmm
- calculated volume (Å³ per cell) = 341.6

=====

MgTaCl | PBE | relaxed

abc: 7.135 7.135 7.135
angles: 155.59 155.59 34.79
Fractional positions:
Mg (0.000, 0.000, 0.000)
Ta (0.648, 0.648, 0.000)
Cl (0.276, 0.276, 0.000)

- raw formation energy (meV per atom) = -14
- magnetic moment (μB/f.u.) = 0.0
- energy (eV/atom) = -5.11
- space group = I4mm
- calculated volume (Å³ per cell) = 61.9

=====

Al2NiPb | PBE | relaxed

abc: 5.161 5.161 5.161
angles: 133.37 133.37 68.08
Fractional positions:
Al (0.250, 0.750, 0.500)
Al (0.750, 0.250, 0.500)
Ni (0.000, 0.000, 0.000)
Pb (0.500, 0.500, 0.000)

- magnetic moment (μB/f.u.) = 0.0
- energy (eV/atom) = -3.99
- space group = I4/mmm
- calculated volume (Å³ per cell) = 71.4

=====

La3Nd2PuTe6 | PBE | relaxed

abc: 10.127 10.127 9.089
angles: 102.95 102.95 25.76
Fractional positions:
La (0.000, 0.000, 0.000)
La (0.332, 0.332, 0.666)
La (0.668, 0.668, 0.334)
Nd (0.334, 0.334, 0.169)
Nd (0.666, 0.666, 0.831)
Pu (0.000, 0.000, 0.500)
Te (0.164, 0.164, 0.584)
Te (0.168, 0.168, 0.080)
Te (0.500, 0.500, 0.257)
Te (0.500, 0.500, 0.743)
Te (0.832, 0.832, 0.920)
Te (0.836, 0.836, 0.416)

- raw formation energy (meV per atom) = -1464
- magnetic moment (μB/f.u.) = 6.1
- energy (eV/atom) = -6.26
- space group = C2/m
- calculated volume (Å³ per cell) = 394.3